Material: Sc3AlSe6
Method: DFT, PBE
State: relaxed

Properties
The total energy is -5.7770 eV per atom.

Cell: 10.7235 13.3912 6.4882 Å, 90.00 90.00 90.00°
Space group Cmc2_1 (No. 36)
Inequivalent atoms, fractional coordinates:
Sc1 0.0000 0.0940 0.0000 (multiplicity 4)
Sc2 0.1834 0.4032 0.8961 (multiplicity 8)
Al1 0.0000 0.2944 0.3636 (multiplicity 4)
Se1 0.0000 0.2819 0.7320 (multiplicity 4)
Se2 0.0000 0.4602 0.2124 (multiplicity 4)
Se3 0.1639 0.0359 0.7000 (multiplicity 8)
Se4 0.1707 0.2256 0.1730 (multiplicity 8)